(1)
Below is crystalline TbDy at its relaxed geometry, with properties calculated at the PBE level.

## Properties
- space group = R-3m, No. 166
- excess energy over the best structure of this formula in the dataset (eV per formula unit) = 0.01
- magnetization (μB per formula unit) = 0.000
- ΔE_f (eV per atom) = 0.02

Cell: 3.5448 3.5448 6.1267 Å, 90.05 106.78 119.97°
Atoms (fractional coordinates):
Tb1 0.0000 0.0000 0.5000
Dy1 0.0000 0.5000 0.0000

***

(2)
Below is crystalline MnHg2Te at its relaxed geometry, with properties calculated at the PBE level.

## Properties
- space group = I-42d, No. 122
- ΔE_f (raw) (eV/atom) = 0.2174
- magnetization (μB per formula unit) = 4.647

Cell: 8.4677 8.4677 6.6333 Å, 50.34 50.34 90.00°
Atoms (fractional coordinates):
Mn1 0.5000 0.5000 0.0000
Mn2 0.2500 0.7500 0.5000
Hg1 0.3750 0.4042 0.7500
Hg2 0.5958 0.1250 0.2500
Hg3 0.1542 0.6250 0.2500
Hg4 0.8750 0.8458 0.7500
Te1 0.0000 0.0000 0.0000
Te2 0.7500 0.2500 0.5000